# 1
Computed, not measured: crystalline PrSm2Ho2Tm2 at its relaxed geometry at the PBE-GGA level of DFT.

Unit cell a=3.4938 b=8.9993 c=8.4540 alpha=116.54 beta=90.00 gamma=101.19
Fractional positions:
Sm1 0.5722 0.1444 0.9124
Ho1 0.2125 0.4249 0.7965
Pr1 0.0000 0.0000 0.5000
Tm1 0.3493 0.6987 0.6066
Tm2 0.6507 0.3013 0.3934
Ho2 0.7875 0.5751 0.2035
Sm2 0.4278 0.8556 0.0876

***

# 2
Computed, not measured: crystalline PrSmHo2Tm2 at its relaxed geometry at the PBE-GGA level of DFT.

Unit cell a=3.3982 b=6.5330 c=17.8229 alpha=90.00 beta=90.00 gamma=90.00
Fractional positions:
Ho1 0.5000 0.2778 0.3127
Tm1 0.0000 0.7204 0.8508
Ho2 0.5000 0.7222 0.6873
Sm1 0.5000 0.5000 0.0000
Tm2 0.0000 0.2796 0.1492
Tm3 0.5000 0.7796 0.3508
Ho3 0.0000 0.7778 0.1873
Ho4 0.0000 0.2222 0.8127
Pr1 0.0000 0.0000 0.0000
Sm2 0.0000 0.0000 0.5000
Tm4 0.5000 0.2204 0.6492
Pr2 0.5000 0.5000 0.5000

***

# 3
Computed, not measured: crystalline Pr2Sm2HoTm at its relaxed geometry at the PBE-GGA level of DFT.

Unit cell a=5.7031 b=7.0767 c=9.8860 alpha=90.00 beta=90.00 gamma=90.00
Fractional positions:
Sm1 0.5000 0.2576 0.3327
Pr1 0.5000 0.5076 0.0000
Sm2 0.0000 0.7576 0.1642
Ho1 0.5000 0.2576 0.6579
Ho2 0.5000 0.7576 0.3421
Pr2 0.0000 0.2576 0.1785
Pr3 0.0000 0.7576 0.8215
Tm1 0.0000 0.0076 0.5000
Pr4 0.5000 0.0076 0.0000
Sm3 0.5000 0.7576 0.6673
Sm4 0.0000 0.2576 0.8358
Tm2 0.0000 0.5076 0.5000

***

# 4
Computed, not measured: crystalline PrSm6Ho2Tm3 at its relaxed geometry at the PBE-GGA level of DFT.

Unit cell a=6.2123 b=6.2123 c=11.8211 alpha=95.01 beta=95.01 gamma=119.98
Fractional positions:
Ho1 0.3334 0.6666 0.0000
Tm1 0.8330 0.1670 0.5000
Sm1 0.0849 0.4192 0.2531
Sm2 0.4192 0.0849 0.2531
Ho2 0.6666 0.3334 0.0000
Sm3 0.9151 0.5808 0.7469
Pr1 0.0000 0.0000 0.0000
Sm4 0.5808 0.9151 0.7469
Tm2 0.5000 0.5000 0.5000
Sm5 0.7507 0.7507 0.2530
Tm3 0.1670 0.8330 0.5000
Sm6 0.2493 0.2493 0.7470

***

# 5
Computed, not measured: crystalline Pr4Sm2HoTm2 at its relaxed geometry at the PBE-GGA level of DFT.

Unit cell a=5.1384 b=8.1303 c=8.0699 alpha=107.60 beta=90.00 gamma=108.42
Fractional positions:
Pr1 0.2223 0.4446 0.3295
Ho1 0.0000 0.0000 0.0000
Sm1 0.8883 0.7767 0.3292
Tm1 0.3327 0.6655 0.0003
Pr2 0.5541 0.1082 0.3295
Sm2 0.1117 0.2233 0.6708
Pr3 0.4459 0.8918 0.6705
Pr4 0.7777 0.5554 0.6705
Tm2 0.6673 0.3345 0.9997

***

# 6
Computed, not measured: crystalline Pr2SmY6Ho at its relaxed geometry at the PBE-GGA level of DFT.

Unit cell a=9.8521 b=8.8133 c=8.8133 alpha=117.68 beta=95.10 gamma=95.10
Fractional positions:
Sm1 0.7500 0.0170 0.9830
Pr1 0.5442 0.1932 0.2918
Pr2 0.4558 0.8068 0.7082
Y1 0.9429 0.8788 0.2587
Y2 0.4429 0.2587 0.8788
Y3 0.8135 0.4256 0.9811
Y4 0.1865 0.5744 0.0189
Y5 0.3825 0.5071 0.2974
Y6 0.6865 0.0189 0.5744
Ho1 0.2500 0.4061 0.5939
Y7 0.8825 0.2974 0.5071
Y8 0.6175 0.4929 0.7026
Pr3 0.0442 0.2918 0.1932
Y9 0.1175 0.7026 0.4929
Y10 0.3135 0.9811 0.4256
Ho2 0.7500 0.5939 0.4061
Y11 0.5571 0.7413 0.1212
Pr4 0.9558 0.7082 0.8068
Sm2 0.2500 0.9830 0.0170
Y12 0.0571 0.1212 0.7413

***

For reference, uncorrected energy by record: -4.47; -4.32; -4.61; -4.62; -4.65; -5.65 eV/atom.
For reference, density of states at the Fermi level by record: 11.2; 18.5; 18.0; 14.3; 14.8; 29.4 states/eV per cell.